Computed, not measured: LaScCuSe3 after structural relaxation at the GGA-PBE level of DFT.

Cell: 10.1468 3.9832 13.2335 Å, 90.00 90.00 90.00°
Closest atoms and distances in Å follow each position.
Fractional coordinates of all 24 atoms:
1 La 0.2286 0.2500 0.0138  7 Se 3.05-3.24
2 La 0.2714 0.7500 0.5138  7 Se 3.05-3.24
3 La 0.7286 0.2500 0.4862  7 Se 3.05-3.24
4 La 0.7714 0.7500 0.9862  7 Se 3.05-3.24
5 Sc 0.0211 0.7500 0.7486  6 Se 2.76-2.79
6 Sc 0.4789 0.2500 0.2486  6 Se 2.76-2.79
7 Sc 0.5211 0.7500 0.7514  6 Se 2.76-2.79
8 Sc 0.9789 0.2500 0.2514  6 Se 2.76-2.79
9 Cu 0.2367 0.7500 0.2287  4 Se 2.43-2.47
10 Cu 0.2633 0.2500 0.7287  4 Se 2.43-2.47
11 Cu 0.7367 0.7500 0.2713  4 Se 2.43-2.47
12 Cu 0.7633 0.2500 0.7713  4 Se 2.43-2.47
13 Se 0.0431 0.7500 0.1155  1 Cu 2.47, 2 Sc 2.76
14 Se 0.0806 0.2500 0.6100  1 Cu 2.43
15 Se 0.2298 0.2500 0.3368  2 Cu 2.45
16 Se 0.2702 0.7500 0.8368  2 Cu 2.45
17 Se 0.4194 0.7500 0.1100  1 Cu 2.43
18 Se 0.4569 0.2500 0.6155  1 Cu 2.47, 2 Sc 2.76
19 Se 0.5431 0.7500 0.3845  1 Cu 2.47, 2 Sc 2.76
20 Se 0.5806 0.2500 0.8900  1 Cu 2.43
21 Se 0.7298 0.2500 0.1632  2 Cu 2.45
22 Se 0.7702 0.7500 0.6632  2 Cu 2.45
23 Se 0.9194 0.7500 0.3900  1 Cu 2.43
24 Se 0.9569 0.2500 0.8845  1 Cu 2.47, 2 Sc 2.76

Summary:
E_tot in eV per atom: -5.670
Spin magnetization in μB per atom: 0.003
SG: Pnma (62)
Crystal system: orthorhombic